First-principles (PBE) data for a relaxed structure of KY2Cl, as listed in the Alexandria database.

Computed properties:
Polymorph energy (0 for the lowest one) in meV/atom: 996
Raw formation energy in meV per atom: 349
Magnetic moment in μB per formula unit: 0.00
Volume in Å³ per atom: 33.23

Lattice parameters (Å, degrees): 5.729 5.729 5.729 60.00 60.00 60.00
Element x y z (fractional)
Cl 0.000 0.000 0.000
Y 0.250 0.250 0.250
Y 0.750 0.750 0.750
K 0.500 0.500 0.500